A relaxed structure of NaNi2F8. Source: Alexandria via LeMat-Bulk, functional PBE+U.

**Final energy**: -3.575 eV/atom
**Total magnetization**: 6.11 μB/cell

The structure in CIF format:
```
data_NaNi2F8
_chemical_formula_sum 'Na1 Ni2 F8'
_symmetry_space_group_name_H-M 'P -3 m 1'
_symmetry_Int_Tables_number 164
_symmetry_space_group_name_Hall '-P 3 2"'
_cell_length_a 6.7694
_cell_length_b 6.7694
_cell_length_c 3.8902
_cell_angle_alpha 90.00
_cell_angle_beta 90.00
_cell_angle_gamma 120.00
loop_
_atom_site_label
_atom_site_type_symbol
_atom_site_fract_x
_atom_site_fract_y
_atom_site_fract_z
Na1 Na 0.0000 0.0000 0.0000
Ni1 Ni 0.3333 0.6667 0.2605
F1 F 0.1810 0.3620 0.2582
F2 F 0.3333 0.6667 0.7599
```